No. 1
Compound: PrY3C
Source: Alexandria via LeMat-Bulk
Functional: PBE-GGA
Structure: relaxed

The space group is Pm-3m (No. 221) and the conventional cell measures 5.0920, 5.0920 and 5.0920 Å, with angles of 90.00, 90.00 and 90.00 degrees. The asymmetric unit holds Pr at (0.0000, 0.0000, 0.0000), Y at (0.0000, 0.5000, 0.5000) and C at (0.5000, 0.5000, 0.5000).

Its crystal system is cubic. For the total magnetic moment, the calculation gives 0.00 μB/cell. The formation energy is -0.09 eV/f.u.

***

No. 2
Compound: Pr3YC
Source: Alexandria via LeMat-Bulk
Functional: PBE-GGA
Structure: relaxed

The space group is Pm-3m (No. 221) and the conventional cell measures 5.2835, 5.2835 and 5.2835 Å, with angles of 90.00, 90.00 and 90.00 degrees. The asymmetric unit holds Pr at (0.0000, 0.0000, 0.5000), Y at (0.5000, 0.5000, 0.5000) and C at (0.0000, 0.0000, 0.0000).

Its crystal system is cubic. For the total magnetic moment, the calculation gives 0.00 μB/cell. The formation energy is 0.59 eV/f.u.

***

No. 3
Compound: PrYC4
Source: Alexandria via LeMat-Bulk
Functional: PBE-GGA
Structure: relaxed

The space group is C2/m (No. 12) and the conventional cell measures 7.5391, 3.7728 and 7.2803 Å, with angles of 90.00, 118.28 and 90.00 degrees. The asymmetric unit holds Pr at (0.0000, 0.0000, 0.0000), Y at (0.0000, 0.5000, 0.5000), C at (0.1934, 0.0000, 0.7839) and C at (0.2000, 0.5000, 0.3134).

Its crystal system is monoclinic. For the total magnetic moment, the calculation gives 0.00 μB/cell. The formation energy is -0.84 eV/f.u.

***

No. 4
Compound: PrYC
Source: Alexandria via LeMat-Bulk
Functional: PBE-GGA
Structure: relaxed

The space group is P3m1 (No. 156) and the conventional cell measures 3.6466, 3.6466 and 6.5469 Å, with angles of 90.00, 90.00 and 120.00 degrees. The asymmetric unit holds Pr at (0.0000, 0.0000, 0.0000), Y at (0.3333, 0.6667, 0.4251) and C at (0.6667, 0.3333, 0.2293).

The energy relative to the lowest polymorph listed for this composition comes out at 0.0000 eV/atom. Its crystal system is trigonal. For the total magnetic moment, the calculation gives 0.00 μB/cell. The formation energy is -0.46 eV/f.u.

***

No. 5
Compound: PrYC2
Source: Alexandria via LeMat-Bulk
Functional: PBE-GGA
Structure: relaxed

The space group is R-3m (No. 166, hexagonal axes) and the conventional cell measures 3.7165, 3.7165 and 18.1217 Å, with angles of 90.00, 90.00 and 120.00 degrees. The asymmetric unit holds Pr at (0.0000, 0.0000, 0.0000), Y at (0.0000, 0.0000, 0.5000) and C at (0.0000, 0.0000, 0.2454).

Its crystal system is trigonal. For the total magnetic moment, the calculation gives 0.00 μB/cell. The formation energy is 0.91 eV/f.u.

***

No. 6
Compound: PrYC
Source: Alexandria via LeMat-Bulk
Functional: PBE-GGA
Structure: relaxed

The space group is Pmmn (No. 59, origin choice 2) and the conventional cell measures 3.6778, 5.0990 and 8.0275 Å, with angles of 90.00, 90.00 and 90.00 degrees. The asymmetric unit holds Pr at (0.2500, 0.2500, 0.1640), Y at (0.2500, 0.2500, 0.5932) and C at (0.2500, 0.7500, 0.6218).

The energy relative to the lowest polymorph listed for this composition comes out at 0.0041 eV/atom. Its crystal system is orthorhombic. For the total magnetic moment, the calculation gives 0.00 μB/cell. The formation energy is -0.45 eV/f.u.

***

No. 7
Compound: Pr3ZnC
Source: Alexandria via LeMat-Bulk
Functional: PBE-GGA
Structure: relaxed

The space group is Pm-3m (No. 221) and the conventional cell measures 5.1310, 5.1310 and 5.1310 Å, with angles of 90.00, 90.00 and 90.00 degrees. The asymmetric unit holds Pr at (0.0000, 0.0000, 0.5000), Zn at (0.5000, 0.5000, 0.5000) and C at (0.0000, 0.0000, 0.0000).

The energy relative to the lowest polymorph listed for this composition comes out at 0.0919 eV/atom. Its crystal system is cubic. For the total magnetic moment, the calculation gives 0.00 μB/cell. The formation energy is -0.14 eV/f.u.

***

No. 8
Compound: PrZnC
Source: Alexandria via LeMat-Bulk
Functional: PBE-GGA
Structure: relaxed

The space group is I4/mmm (No. 139) and the conventional cell measures 3.8739, 3.8739 and 17.4519 Å, with angles of 90.00, 90.00 and 90.00 degrees. The asymmetric unit holds Pr at (0.0000, 0.0000, 0.1779), Zn at (0.0000, 0.0000, 0.4323) and C at (0.0000, 0.0000, 0.3204).

The energy relative to the lowest polymorph listed for this composition comes out at 0.3693 eV/atom. Its crystal system is tetragonal. For the total magnetic moment, the calculation gives 0.00 μB/cell. The formation energy is 0.46 eV/f.u.

***

No. 9
Compound: Pr3ZnC
Source: Alexandria via LeMat-Bulk
Functional: PBE-GGA
Structure: relaxed

The space group is P-1 (No. 2) and the conventional cell measures 3.7763, 7.8832 and 9.0045 Å, with angles of 87.42, 89.99 and 76.15 degrees. The asymmetric unit holds Pr at (0.0482, 0.4013, 0.2747), Pr at (0.2479, 0.0048, 0.6733), Pr at (0.3502, 0.7998, 0.0354), Zn at (0.4138, 0.6716, 0.4413) and C at (0.1963, 0.1068, 0.1502).

The energy relative to the lowest polymorph listed for this composition comes out at 0.0000 eV/atom. Its crystal system is triclinic. For the total magnetic moment, the calculation gives 0.00 μB/cell. The formation energy is -0.60 eV/f.u.

***

No. 10
Compound: Pr4Zn2C
Source: Alexandria via LeMat-Bulk
Functional: PBE-GGA
Structure: relaxed

The space group is I4/mmm (No. 139) and the conventional cell measures 4.9869, 4.9869 and 16.1909 Å, with angles of 90.00, 90.00 and 90.00 degrees. The asymmetric unit holds Pr at (0.0000, 0.0000, 0.1918), Pr at (0.0000, 0.5000, 0.0000), Zn at (0.0000, 0.0000, 0.3732) and C at (0.0000, 0.0000, 0.5000).

Its crystal system is tetragonal. For the total magnetic moment, the calculation gives 0.00 μB/cell. The formation energy is 0.69 eV/f.u.

***

No. 11
Compound: Pr2ZnC
Source: Alexandria via LeMat-Bulk
Functional: PBE-GGA
Structure: relaxed

The space group is R-3m (No. 166, hexagonal axes) and the conventional cell measures 3.6758, 3.6758 and 28.2083 Å, with angles of 90.00, 90.00 and 120.00 degrees. The asymmetric unit holds Pr at (0.0000, 0.0000, 0.1163), Zn at (0.0000, 0.0000, 0.0000) and C at (0.0000, 0.0000, 0.5000).

Its crystal system is trigonal. For the total magnetic moment, the calculation gives 0.00 μB/cell. The formation energy is 0.48 eV/f.u.

***

No. 12
Compound: PrZnC
Source: Alexandria via LeMat-Bulk
Functional: PBE-GGA
Structure: relaxed

The space group is C2/m (No. 12) and the conventional cell measures 7.7637, 3.9304 and 8.0637 Å, with angles of 90.00, 104.40 and 90.00 degrees. The asymmetric unit holds Pr at (0.0921, 0.0000, 0.3077), Zn at (0.1574, 0.5000, 0.9986) and C at (0.0849, 0.5000, 0.5409).

The energy relative to the lowest polymorph listed for this composition comes out at 0.0000 eV/atom. Its crystal system is monoclinic. For the total magnetic moment, the calculation gives 0.00 μB/cell. The formation energy is -0.65 eV/f.u.

***

No. 13
Compound: PrZrC2
Source: Alexandria via LeMat-Bulk
Functional: PBE-GGA
Structure: relaxed

The space group is R-3m (No. 166, hexagonal axes) and the conventional cell measures 3.5223, 3.5223 and 17.8381 Å, with angles of 90.00, 90.00 and 120.00 degrees. The asymmetric unit holds Pr at (0.0000, 0.0000, 0.0000), Zr at (0.0000, 0.0000, 0.5000) and C at (0.0000, 0.0000, 0.2378).

Its crystal system is trigonal. For the total magnetic moment, the calculation gives 0.00 μB/cell. The formation energy is -0.59 eV/f.u.

***

No. 14
Compound: PrZr2C
Source: Alexandria via LeMat-Bulk
Functional: PBE-GGA
Structure: relaxed

The space group is R-3m (No. 166, hexagonal axes) and the conventional cell measures 3.3446, 3.3446 and 27.5767 Å, with angles of 90.00, 90.00 and 120.00 degrees. The asymmetric unit holds Pr at (0.0000, 0.0000, 0.0000), Zr at (0.0000, 0.0000, 0.1215) and C at (0.0000, 0.0000, 0.5000).

Its crystal system is trigonal. For the total magnetic moment, the calculation gives 0.00 μB/cell. The formation energy is -1.10 eV/f.u.

***

No. 15
Compound: PrZrC
Source: Alexandria via LeMat-Bulk
Functional: PBE-GGA
Structure: relaxed

The space group is P4/nmm (No. 129, origin choice 2) and the conventional cell measures 3.8237, 3.8237 and 9.0642 Å, with angles of 90.00, 90.00 and 90.00 degrees. The asymmetric unit holds Pr at (0.2500, 0.2500, 0.1903), Zr at (0.2500, 0.7500, 0.5000) and C at (0.2500, 0.2500, 0.6705).

Its crystal system is tetragonal. For the total magnetic moment, the calculation gives 0.00 μB/cell. The formation energy is 0.55 eV/f.u.

***

No. 16
Compound: Pt3C
Source: Alexandria via LeMat-Bulk
Functional: PBE-GGA
Structure: relaxed

The space group is Cmmm (No. 65) and the conventional cell measures 5.3401, 7.2976 and 2.9445 Å, with angles of 90.00, 90.00 and 90.00 degrees. The asymmetric unit holds Pt at (0.0000, 0.0000, 0.0000), Pt at (0.2500, 0.2500, 0.5000) and C at (0.0000, 0.5000, 0.0000).

Its crystal system is orthorhombic. For the total magnetic moment, the calculation gives 0.00 μB/cell. The formation energy is 4.93 eV/f.u.

***

No. 17
Compound: Pt3C2
Source: Alexandria via LeMat-Bulk
Functional: PBE-GGA
Structure: relaxed

The space group is Fdd2 (No. 43) and the conventional cell measures 9.3619, 9.4154 and 5.7577 Å, with angles of 90.00, 90.00 and 90.00 degrees. The asymmetric unit holds Pt at (0.0000, 0.0000, 0.0000), Pt at (0.1121, 0.1841, 0.6625) and C at (0.0650, 0.2192, 0.0313).

The energy relative to the lowest polymorph listed for this composition comes out at 0.0000 eV/atom. Its crystal system is orthorhombic. For the total magnetic moment, the calculation gives 0.00 μB/cell. The formation energy is 4.23 eV/f.u.

***

No. 18
Compound: PtC3
Source: Alexandria via LeMat-Bulk
Functional: PBE-GGA
Structure: relaxed

The space group is Im-3m (No. 229) and the conventional cell measures 4.1731, 4.1731 and 4.1731 Å, with angles of 90.00, 90.00 and 90.00 degrees. The asymmetric unit holds Pt at (0.0000, 0.0000, 0.0000) and C at (0.0000, 0.0000, 0.5000).

The energy relative to the lowest polymorph listed for this composition comes out at 1.7083 eV/atom. Its crystal system is cubic. For the total magnetic moment, the calculation gives 0.00 μB/cell. The formation energy is 9.65 eV/f.u.

***

No. 19
Compound: PtC
Source: Alexandria via LeMat-Bulk
Functional: PBE-GGA
Structure: relaxed

The space group is P-6m2 (No. 187) and the conventional cell measures 3.0286, 3.0286 and 2.8775 Å, with angles of 90.00, 90.00 and 120.00 degrees. The asymmetric unit holds Pt at (0.0000, 0.0000, 0.0000) and C at (0.6667, 0.3333, 0.5000).

The energy relative to the lowest polymorph listed for this composition comes out at 1.1570 eV/atom. Its crystal system is hexagonal. For the total magnetic moment, the calculation gives 0.00 μB/cell. The formation energy is 3.11 eV/f.u.

***

No. 20
Compound: PtC3
Source: Alexandria via LeMat-Bulk
Functional: PBE-GGA
Structure: relaxed

The space group is Pm-3n (No. 223) and the conventional cell measures 4.2248, 4.2248 and 4.2248 Å, with angles of 90.00, 90.00 and 90.00 degrees. The asymmetric unit holds Pt at (0.0000, 0.0000, 0.0000) and C at (0.0000, 0.2500, 0.5000).

The energy relative to the lowest polymorph listed for this composition comes out at 2.3161 eV/atom. Its crystal system is cubic. For the total magnetic moment, the calculation gives 0.00 μB/cell. The formation energy is 12.08 eV/f.u.